An optimized crystal structure of SiBPN4, computed with PBE.

Properties
The theoretical density comes out at 3.129 g/cm³. The relative energy among the computed polymorphs is 405.2 meV/atom. The value obtained for the total energy is -7.683 eV per atom. The formation energy (no corrections) is -286 kJ/mol of formula units. The calculation puts the density of states at the Fermi level at 0.000 states/eV per atom.

a = 4.8194 Å, b = 5.3071 Å, c = 5.8229 Å
α = 64.28°, β = 85.00°, γ = 86.25°
Closest atoms and distances in Å follow each position.
Fractional positions:
P 0.2283 0.8611 0.9704  3 N 1.58-1.66
P 0.1122 0.9864 0.5707  3 N 1.64-1.69
Si 0.6910 0.7976 0.3569  4 N 1.75-1.88
Si 0.5292 0.3746 0.8483  4 N 1.73-1.76
B 0.6136 0.2436 0.4455  3 N 1.44-1.55
B 0.9985 0.4699 0.0927  4 N 1.53-1.62
N 0.3102 0.5405 0.9974  1 B 1.57, 1 P 1.66, 1 Si 1.74
N 0.5298 0.4680 0.5182  1 B 1.45
N 0.9118 0.2107 0.3383  2 B 1.54-1.55, 1 P 1.69
N 0.9194 0.7203 0.6275  1 N 1.45
N 0.9477 0.7437 0.1488  1 P 1.61, 1 B 1.62, 1 Si 1.75
N 0.4664 0.0225 0.0172  1 P 1.58, 1 Si 1.73
N 0.4516 0.0169 0.4642  1 B 1.44
N 0.8652 0.4712 0.8637  1 N 1.45, 1 B 1.53

An optimized crystal structure of ScCdAg6, computed with PBE.

Properties
The theoretical density comes out at 7.984 g/cm³. The relative energy among the computed polymorphs is 174.2 meV/atom. The value obtained for the total energy is -2.986 eV per atom. The calculation puts the density of states at the Fermi level at 0.354 states/eV per atom.

a = 5.0317 Å, b = 5.0317 Å, c = 7.4138 Å
α = 76.53°, β = 76.53°, γ = 68.29°
Closest atoms and distances in Å follow each position.
Fractional positions:
Sc 0.0000 0.0000 0.0000  10 Ag 2.82-3.14
Cd 0.5000 0.5000 0.5000  10 Ag 2.87-3.08
Ag 0.0510 0.5326 0.3002  5 Ag 2.72-2.96, 1 Sc 2.82, 2 Cd 2.87-2.91
Ag 0.5326 0.0510 0.3002  5 Ag 2.72-2.96, 1 Sc 2.82, 2 Cd 2.87-2.91
Ag 0.4674 0.9490 0.6998  5 Ag 2.72-2.96, 1 Sc 2.82, 2 Cd 2.87-2.91
Ag 0.9490 0.4674 0.6998  5 Ag 2.72-2.96, 1 Sc 2.82, 2 Cd 2.87-2.91
Ag 0.3638 0.3638 0.9312  5 Ag 2.74-2.96, 1 Sc 2.93
Ag 0.6362 0.6362 0.0688  5 Ag 2.74-2.96, 1 Sc 2.93

An optimized crystal structure of Na2SrBeCd, computed with PBE.

Properties
The theoretical density comes out at 2.742 g/cm³. The value obtained for the total energy is -1.453 eV per atom. The calculation puts the density of states at the Fermi level at 0.536 states/eV per atom.

a = 5.6816 Å, b = 4.7841 Å, c = 5.6816 Å
α = 90.00°, β = 90.00°, γ = 90.00°
Closest atoms and distances in Å follow each position.
Fractional positions:
Sr 0.5000 0.5000 0.5000  8 Na 3.71, 4 Be 4.02
Na 0.0000 0.0000 0.5000  2 Cd 2.84
Na 0.5000 0.0000 0.0000  2 Cd 2.84
Be 0.0000 0.5000 0.0000  2 Cd 2.39
Cd 0.0000 0.0000 0.0000  2 Be 2.39

An optimized crystal structure of Pu2NbH, computed with PBE.

Properties
The theoretical density comes out at 13.734 g/cm³. The relative energy among the computed polymorphs is 195.5 meV/atom. The value obtained for the total energy is -10.158 eV per atom. The calculation puts the density of states at the Fermi level at 3.002 states/eV per atom.

a = 2.9698 Å, b = 2.9698 Å, c = 9.3697 Å
α = 80.88°, β = 80.88°, γ = 60.00°
Closest atoms and distances in Å follow each position.
Fractional positions:
H 0.5000 0.5000 0.5000  6 Pu 2.38
Nb 0.0000 0.0000 0.0000  2 Pu 2.96, 6 Nb 2.97
Pu 0.1072 0.1072 0.6785  3 H 2.38
Pu 0.8928 0.8928 0.3215  3 H 2.38

An optimized crystal structure of PrTm6Sc4, computed with PBE.

Properties
The theoretical density comes out at 6.570 g/cm³. The value obtained for the total energy is -4.877 eV per atom. The calculation puts the density of states at the Fermi level at 1.654 states/eV per atom.

a = 5.1949 Å, b = 8.6580 Å, c = 8.6580 Å
α = 120.00°, β = 90.00°, γ = 90.00°
Closest atoms and distances in Å follow each position.
Fractional positions:
Pr 0.0000 0.0000 0.0000  12 Tm 4.01-4.36, 6 Sc 4.11
Tm 0.0000 0.5344 0.0689  5 Sc 3.02-3.22
Tm 0.5000 0.5926 0.7963  4 Sc 3.12-3.24, 2 Tm 3.37
Tm 0.0000 0.5344 0.4656  5 Sc 3.02-3.22
Tm 0.0000 0.9311 0.4656  5 Sc 3.02-3.22
Tm 0.5000 0.2037 0.7963  4 Sc 3.12-3.24, 2 Tm 3.37
Tm 0.5000 0.2037 0.4074  4 Sc 3.12-3.24, 2 Tm 3.37
Sc 0.5000 0.7876 0.5752  6 Tm 3.12-3.22, 2 Sc 3.14
Sc 0.5000 0.4248 0.2124  6 Tm 3.12-3.22, 2 Sc 3.14
Sc 0.5000 0.7876 0.2124  6 Tm 3.12-3.22, 2 Sc 3.14
Sc 0.0000 0.3333 0.6667  9 Tm 3.02-3.24

An optimized crystal structure of Zn2CoRe, computed with PBE.

Properties
The theoretical density comes out at 11.730 g/cm³. The relative energy among the computed polymorphs is 257.9 meV/atom. The value obtained for the total energy is -5.250 eV per atom. The calculation puts the density of states at the Fermi level at 0.672 states/eV per atom.

a = 4.4816 Å, b = 4.4816 Å, c = 4.4816 Å
α = 128.79°, β = 128.79°, γ = 75.35°
Closest atoms and distances in Å follow each position.
Fractional positions:
Co 0.5000 0.5000 0.0000  4 Re 2.63, 8 Zn 2.63-2.74
Re 0.7500 0.2500 0.5000  4 Co 2.63, 8 Zn 2.63-2.74
Zn 0.0000 0.0000 0.0000  4 Re 2.63, 4 Zn 2.63, 4 Co 2.74
Zn 0.2500 0.7500 0.5000  4 Co 2.63, 4 Zn 2.63, 4 Re 2.74

- Among the records above, which one has the highest theoretical density?
  Pu2NbH

- What is the theoretical density in the fourth record?
  13.734 g/cm³